# NdNi2GeO6 | the Alexandria database | PBE with a Hubbard U | relaxed
data_NdNi2GeO6
_cell_length_a 5.1498
_cell_length_b 5.2220
_cell_length_c 5.5756
_cell_angle_alpha 62.09
_cell_angle_beta 89.66
_cell_angle_gamma 61.65
_space_group_name_H-M_alt 'P 1'
_space_group_IT_number 1
_space_group_name_Hall 'P 1'
loop_
_atom_site_label
_atom_site_type_symbol
_atom_site_fract_x
_atom_site_fract_y
_atom_site_fract_z
Nd1 Nd 0.0000 0.0000 0.0000
Ni1 Ni 0.2729 0.4664 0.8057
Ni2 Ni 0.7815 0.4382 0.3505
Ge1 Ge 0.4735 0.0540 0.4151
O1 O 0.0757 0.4785 0.1418
O2 O 0.2084 0.9406 0.6074
O3 O 0.4491 0.9502 0.1278
O4 O 0.5570 0.2583 0.5984
O5 O 0.6252 0.3149 0.1417
O6 O 0.8589 0.6024 0.5894
# Density of states at the Fermi level, states/eV per atom: 0.043
# E, eV/atom: -6.120